Density functional theory data (PBE) for CsHgTeI2 after structural relaxation.

Lattice parameters (Å, degrees): 6.2750 6.2750 5.6881 90.00 90.00 90.00
Element x y z (fractional)
Cs  0.5000  0.5000  0.5000
I  0.5000  0.0000  0.0000
I  0.0000  0.5000  0.0000
Hg  0.0000  0.0000  0.0000
Te  0.0000  0.0000  0.5000

Summary:
Total moment, μB/f.u.: 0.938
Formation energy without anion corrections, eV per formula unit: -2.4
E above lowest polymorph, eV per formula unit: 0.51
Space-group type: P4/mmm, No. 123
Calculated volume, Å³ per cell: 223.97
DFT total energy, eV per atom: -1.954
Calculated density, Mg/m³: 5.30
Crystal system: tetragonal

Density functional theory data (PBE) for CsHg2TeI after structural relaxation.

Lattice parameters (Å, degrees): 5.7518 5.7518 7.8750 90.00 90.00 90.00
Element x y z (fractional)
Cs  0.0000  0.0000  0.5000
Hg  0.5000  0.0000  0.0000
Hg  0.0000  0.5000  0.0000
I  0.5000  0.5000  0.5000
Te  0.0000  0.0000  0.0000

Summary:
Total moment, μB/f.u.: 0.000
Formation energy without anion corrections, eV per formula unit: -2.8
Space-group type: P4/mmm, No. 123
Calculated volume, Å³ per cell: 260.53
DFT total energy, eV per atom: -1.796
Calculated density, Mg/m³: 5.03
Crystal system: tetragonal

Density functional theory data (PBE) for CsThHg2I6 after structural relaxation.

Lattice parameters (Å, degrees): 8.2779 8.2788 10.3035 89.98 113.63 120.06
Element x y z (fractional)
Hg  0.6283  0.3135  0.9273
Hg  0.6080  0.8038  0.3977
I  0.4081  0.0649  0.1287
I  0.8004  0.7344  0.1289
I  0.0782  0.3425  0.1287
I  0.1461  0.2124  0.7365
I  0.8179  0.6050  0.7364
I  0.5382  0.9321  0.7368
Cs  0.9746  0.4866  0.4471
Th  0.9659  0.9825  0.9344

Summary:
Total moment, μB/f.u.: 0.001
Formation energy without anion corrections, eV per formula unit: -9.0
Space-group type: P1, No. 1
Calculated volume, Å³ per cell: 541.72
DFT total energy, eV per atom: -2.717
Calculated density, Mg/m³: 4.68
Crystal system: triclinic